A plane-wave DFT calculation with GGA-PBE was carried out for a relaxed LiPt2Pb2 crystal.

a = 3.9560 Å, b = 3.9560 Å, c = 7.9823 Å
α = 75.65°, β = 75.65°, γ = 90.00°
With the nearest neighbours (Å) after each atom.
Fractional positions:
Pb: 0.3846 0.3846 0.2309  4 Pt 2.82
Pb: 0.6154 0.6154 0.7691  4 Pt 2.82
Pt: 0.7500 0.2500 0.5000  4 Pt 2.80, 4 Pb 2.82
Pt: 0.2500 0.7500 0.5000  4 Pt 2.80, 4 Pb 2.82
Li: 0.0000 0.0000 0.0000  8 Pb 3.29

Output
The value obtained for the volume is 23.40 Å³/atom. As for the energy relative to the lowest polymorph listed for this composition: 0.0911 eV/atom. For the total magnetization, the calculation gives 0.000 μB per formula unit. Its crystal system is tetragonal. The formation energy comes out at -132 meV per atom. As for the space group: I4/mmm.